*a*
Cu3SCl2 after structural relaxation. Source: the Alexandria database, functional PBE-GGA.

abc: 7.6329 7.6329 6.4090
angles: 100.69 100.69 128.19
With the nearest neighbours (Å) after each atom.
Element x y z (fractional)
Cu (0.0000, 0.0000, 0.0000)  2 S 2.15
Cu (0.0000, 0.0000, 0.5000)  2 S 2.15
Cu (0.1699, 0.5069, 0.9131)  2 Cl 2.21-2.24, 1 S 2.23
Cu (0.4931, 0.8301, 0.5869)  2 Cl 2.21-2.24, 1 S 2.23
Cu (0.5069, 0.1699, 0.4131)  2 Cl 2.21-2.24, 1 S 2.23
Cu (0.8301, 0.4931, 0.0869)  2 Cl 2.21-2.24, 1 S 2.23
S (0.1046, 0.8954, 0.2500)  4 Cu 2.15-2.23
S (0.8954, 0.1046, 0.7500)  4 Cu 2.15-2.23
Cl (0.2376, 0.7624, 0.7500)  2 Cu 2.21
Cl (0.4103, 0.5897, 0.2500)  2 Cu 2.24
Cl (0.5897, 0.4103, 0.7500)  2 Cu 2.24
Cl (0.7624, 0.2376, 0.2500)  2 Cu 2.21

Computed properties:
* total moment: 0.00 μB per formula unit
* space-group type: No. 15


*b*
Cu3SCl2 after structural relaxation. Source: the Alexandria database, functional PBE-GGA.

abc: 3.6222 11.6064 5.7075
angles: 90.00 90.00 90.00
With the nearest neighbours (Å) after each atom.
Element x y z (fractional)
Cu (0.0000, 0.0000, 0.0000)  2 S 2.22, 2 Cl 2.45
Cu (0.0000, 0.3755, 0.9916)  1 S 2.16, 2 Cl 2.30
Cu (0.0000, 0.6245, 0.9916)  1 S 2.16, 2 Cl 2.30
Cu (0.5000, 0.1245, 0.4916)  1 S 2.16, 2 Cl 2.30
Cu (0.5000, 0.5000, 0.5000)  2 S 2.22, 2 Cl 2.45
Cu (0.5000, 0.8755, 0.4916)  1 S 2.16, 2 Cl 2.30
S (0.0000, 0.5000, 0.2736)  4 Cu 2.16-2.22
S (0.5000, 0.0000, 0.7736)  4 Cu 2.16-2.22
Cl (0.0000, 0.1686, 0.2587)  3 Cu 2.30-2.45
Cl (0.0000, 0.8314, 0.2587)  3 Cu 2.30-2.45
Cl (0.5000, 0.3314, 0.7587)  3 Cu 2.30-2.45
Cl (0.5000, 0.6686, 0.7587)  3 Cu 2.30-2.45

Computed properties:
* total moment: 0.00 μB per formula unit
* space-group type: No. 44


*b* ends up most stable, edging out the next structure by 5.6 kJ/mol of atoms.


*a*
Cu4S2Cl after structural relaxation. Source: the Alexandria database, functional PBE-GGA.

abc: 9.7558 9.7558 9.7558
angles: 21.34 21.34 21.34
With the nearest neighbours (Å) after each atom.
Element x y z (fractional)
Cu (0.1382, 0.1382, 0.1382)  3 S 2.33
Cu (0.2744, 0.2744, 0.2744)  3 S 2.42, 3 Cl 2.68
Cu (0.7256, 0.7256, 0.7256)  3 S 2.42, 3 Cl 2.68
Cu (0.8618, 0.8618, 0.8618)  3 S 2.33
S (0.4353, 0.4353, 0.4353)  6 Cu 2.33-2.42
S (0.5647, 0.5647, 0.5647)  6 Cu 2.33-2.42
Cl (0.0000, 0.0000, 0.0000)  6 Cu 2.68

Computed properties:
* total moment: 0.00 μB per formula unit
* space-group type: No. 166


*b*
Cu4S2Cl after structural relaxation. Source: the Alexandria database, functional PBE-GGA.

abc: 3.5493 13.3687 10.6399
angles: 90.00 90.00 90.00
With the nearest neighbours (Å) after each atom.
Element x y z (fractional)
Cu (0.0042, 0.2500, 0.0000)  4 S 2.33-2.34
Cu (0.0042, 0.2500, 0.5000)  4 S 2.33-2.34
Cu (0.4160, 0.5194, 0.1107)  2 S 2.30-2.38, 1 Cl 2.31, 1 Cu 2.48
Cu (0.4160, 0.5194, 0.3893)  2 S 2.30-2.38, 1 Cl 2.31, 1 Cu 2.48
Cu (0.4160, 0.9806, 0.6107)  2 S 2.30-2.38, 1 Cl 2.31, 1 Cu 2.48
Cu (0.4160, 0.9806, 0.8893)  2 S 2.30-2.38, 1 Cl 2.31, 1 Cu 2.48
Cu (0.4927, 0.6364, 0.7500)  2 S 2.16
Cu (0.4927, 0.8636, 0.2500)  2 S 2.16
Cu (0.5073, 0.1364, 0.7500)  2 S 2.16
Cu (0.5073, 0.3636, 0.2500)  2 S 2.16
Cu (0.5840, 0.0194, 0.1107)  2 S 2.30-2.38, 1 Cl 2.31, 1 Cu 2.48
Cu (0.5840, 0.0194, 0.3893)  2 S 2.30-2.38, 1 Cl 2.31, 1 Cu 2.48
Cu (0.5840, 0.4806, 0.6107)  2 S 2.30-2.38, 1 Cl 2.31, 1 Cu 2.48
Cu (0.5840, 0.4806, 0.8893)  2 S 2.30-2.38, 1 Cl 2.31, 1 Cu 2.48
Cu (0.9958, 0.7500, 0.0000)  4 S 2.33-2.34
Cu (0.9958, 0.7500, 0.5000)  4 S 2.33-2.34
S (0.4986, 0.6431, 0.5473)  5 Cu 2.16-2.38
S (0.4986, 0.6431, 0.9527)  5 Cu 2.16-2.38
S (0.4986, 0.8569, 0.0473)  5 Cu 2.16-2.38
S (0.4986, 0.8569, 0.4527)  5 Cu 2.16-2.38
S (0.5014, 0.1431, 0.5473)  5 Cu 2.16-2.38
S (0.5014, 0.1431, 0.9527)  5 Cu 2.16-2.38
S (0.5014, 0.3569, 0.0473)  5 Cu 2.16-2.38
S (0.5014, 0.3569, 0.4527)  5 Cu 2.16-2.38
Cl (0.0189, 0.6003, 0.2500)  2 Cu 2.31
Cl (0.0189, 0.8997, 0.7500)  2 Cu 2.31
Cl (0.9811, 0.1003, 0.2500)  2 Cu 2.31
Cl (0.9811, 0.3997, 0.7500)  2 Cu 2.31

Computed properties:
* total moment: 0.00 μB per formula unit
* space-group type: No. 57


*b* ends up most stable, edging out the next structure by 12.5 kJ/mol of atoms.


*a*
CuS3Cl after structural relaxation. Source: the Alexandria database, functional PBE-GGA.

abc: 4.5338 4.5338 4.5338
angles: 90.00 90.00 90.00
With the nearest neighbours (Å) after each atom.
Element x y z (fractional)
Cu (0.0000, 0.0000, 0.0000)  6 S 2.27
S (0.0000, 0.0000, 0.5000)  2 Cu 2.27
S (0.0000, 0.5000, 0.0000)  2 Cu 2.27
S (0.5000, 0.0000, 0.0000)  2 Cu 2.27
Cl (0.5000, 0.5000, 0.5000)  12 S 3.21

Computed properties:
* total moment: 0.00 μB per formula unit
* space-group type: No. 221


*b*
CuS3Cl after structural relaxation. Source: the Alexandria database, functional PBE-GGA.

abc: 4.6231 4.6231 4.6231
angles: 90.00 90.00 90.00
With the nearest neighbours (Å) after each atom.
Element x y z (fractional)
Cu (0.0000, 0.0000, 0.0000)  12 S 3.27
S (0.0000, 0.5000, 0.5000)  2 Cl 2.31
S (0.5000, 0.0000, 0.5000)  2 Cl 2.31
S (0.5000, 0.5000, 0.0000)  2 Cl 2.31
Cl (0.5000, 0.5000, 0.5000)  6 S 2.31

Computed properties:
* total moment: 0.00 μB per formula unit
* space-group type: No. 221


*a* ends up most stable, edging out the next structure by 46.7 kJ/mol of atoms.


*a*
CuSbS2Cl after structural relaxation. Source: the Alexandria database, functional PBE-GGA.

abc: 4.6871 4.6871 4.4510
angles: 90.00 90.00 90.00
With the nearest neighbours (Å) after each atom.
Element x y z (fractional)
Cu (0.0000, 0.0000, 0.0000)  2 Cl 2.23, 4 S 2.34
Sb (0.5000, 0.5000, 0.5000)  8 S 3.23, 4 Cl 3.31
S (0.0000, 0.5000, 0.0000)  2 Cu 2.34
S (0.5000, 0.0000, 0.0000)  2 Cu 2.34
Cl (0.0000, 0.0000, 0.5000)  2 Cu 2.23

Computed properties:
* total moment: 0.00 μB per formula unit
* space-group type: No. 123


*b*
CuSbS2Cl after structural relaxation. Source: the Alexandria database, functional PBE-GGA.

abc: 5.0412 5.0412 5.1782
angles: 90.00 90.00 90.00
With the nearest neighbours (Å) after each atom.
Element x y z (fractional)
Cu (0.0000, 0.0000, 0.0000)  4 Cl 3.56, 8 S 3.61
Sb (0.5000, 0.5000, 0.5000)  4 S 2.52, 2 Cl 2.59
S (0.0000, 0.5000, 0.5000)  2 Sb 2.52
S (0.5000, 0.0000, 0.5000)  2 Sb 2.52
Cl (0.5000, 0.5000, 0.0000)  2 Sb 2.59

Computed properties:
* total moment: 0.00 μB per formula unit
* space-group type: No. 123


*a* ends up most stable, edging out the next structure by 29.5 kJ/mol of atoms.